<1>
# CrReN2

A relaxed CrReN2 crystal (PBE, Alexandria via LeMat-Bulk).

It has space group R-3m (No. 166, hexagonal axes), with a = 2.7174 Å, b = 2.7174 Å, c = 19.2550 Å, α = 90.00°, β = 90.00° and γ = 120.00°. Symmetry generates all atoms from Cr at (0.0000, 0.0000, 0.0000), Re at (0.0000, 0.0000, 0.5000) and N at (0.0000, 0.0000, 0.3956).

=====

<2>
# CrReN2

A relaxed CrReN2 crystal (PBE, Alexandria via LeMat-Bulk).

It has space group Fm-3m (No. 225), with a = 5.277 Å, b = 5.277 Å, c = 5.277 Å, α = 90.00°, β = 90.00° and γ = 90.00°. Symmetry generates all atoms from Cr at (0.000, 0.000, 0.000), Re at (0.000, 0.000, 0.500) and N at (0.250, 0.250, 0.250).

=====

<1> takes first place; second place is 44.7 kJ/mol of atoms up.

=====

<1>
# CrReSe2N

A relaxed CrReSe2N crystal (PBE, Alexandria via LeMat-Bulk).

It has space group P4/mmm (No. 123), with a = 4.913 Å, b = 4.913 Å, c = 3.451 Å, α = 90.00°, β = 90.00° and γ = 90.00°. Symmetry generates all atoms from Cr at (0.000, 0.000, 0.000), Re at (0.500, 0.500, 0.500), Se at (0.000, 0.500, 0.000) and N at (0.000, 0.000, 0.500).

=====

<2>
# CrReSe2N

A relaxed CrReSe2N crystal (PBE, Alexandria via LeMat-Bulk).

It has space group P4/mmm (No. 123), with a = 5.030 Å, b = 5.030 Å, c = 3.706 Å, α = 90.00°, β = 90.00° and γ = 90.00°. Symmetry generates all atoms from Cr at (0.000, 0.000, 0.000), Re at (0.500, 0.500, 0.500), Se at (0.000, 0.500, 0.500) and N at (0.500, 0.500, 0.000).

=====

<1> takes first place; second place is 3.5 kJ/mol of atoms up.

=====

<1>
# CrReSeN2

A relaxed CrReSeN2 crystal (PBE, Alexandria via LeMat-Bulk).

It has space group P4/mmm (No. 123), with a = 3.821 Å, b = 3.821 Å, c = 5.509 Å, α = 90.00°, β = 90.00° and γ = 90.00°. Symmetry generates all atoms from Cr at (0.000, 0.000, 0.000), Re at (0.500, 0.500, 0.500), Se at (0.500, 0.500, 0.000) and N at (0.000, 0.500, 0.500).

=====

<2>
# CrReSeN2

A relaxed CrReSeN2 crystal (PBE, Alexandria via LeMat-Bulk).

It has space group P4/mmm (No. 123), with a = 3.699 Å, b = 3.699 Å, c = 5.171 Å, α = 90.00°, β = 90.00° and γ = 90.00°. Symmetry generates all atoms from Cr at (0.000, 0.000, 0.000), Re at (0.500, 0.500, 0.500), Se at (0.000, 0.000, 0.500) and N at (0.000, 0.500, 0.000).

=====

<1> takes first place; second place is 66.1 kJ/mol of atoms up.

=====

<1>
# Cr3RhN

A relaxed Cr3RhN crystal (PBE, Alexandria via LeMat-Bulk).

It has space group Pm-3m (No. 221), with a = 3.819 Å, b = 3.819 Å, c = 3.819 Å, α = 90.00°, β = 90.00° and γ = 90.00°. Symmetry generates all atoms from Cr at (0.000, 0.000, 0.500), Rh at (0.500, 0.500, 0.500) and N at (0.000, 0.000, 0.000).

=====

<2>
# Cr3RhN

A relaxed Cr3RhN crystal (PBE, Alexandria via LeMat-Bulk).

It has space group Pm-3m (No. 221), with a = 4.440 Å, b = 4.440 Å, c = 4.440 Å, α = 90.00°, β = 90.00° and γ = 90.00°. Symmetry generates all atoms from Cr at (0.000, 0.000, 0.500), Rh at (0.000, 0.000, 0.000) and N at (0.500, 0.500, 0.500).

=====

<1> takes first place; second place is 276.8 kJ/mol of atoms up.

=====

<1>
# CrRh3N

A relaxed CrRh3N crystal (PBE, Alexandria via LeMat-Bulk).

It has space group Pm-3m (No. 221), with a = 4.061 Å, b = 4.061 Å, c = 4.061 Å, α = 90.00°, β = 90.00° and γ = 90.00°. Symmetry generates all atoms from Cr at (0.000, 0.000, 0.000), Rh at (0.000, 0.500, 0.500) and N at (0.500, 0.500, 0.500).

=====

<2>
# CrRh3N

A relaxed CrRh3N crystal (PBE, Alexandria via LeMat-Bulk).

It has space group Pm-3m (No. 221), with a = 4.452 Å, b = 4.452 Å, c = 4.452 Å, α = 90.00°, β = 90.00° and γ = 90.00°. Symmetry generates all atoms from Cr at (0.000, 0.000, 0.000), Rh at (0.000, 0.000, 0.500) and N at (0.500, 0.500, 0.500).

=====

<1> takes first place; second place is 174.9 kJ/mol of atoms up.

=====

<1>
# CrRhS2N

A relaxed CrRhS2N crystal (PBE, Alexandria via LeMat-Bulk).

It has space group P4/mmm (No. 123), with a = 4.856 Å, b = 4.856 Å, c = 3.617 Å, α = 90.00°, β = 90.00° and γ = 90.00°. Symmetry generates all atoms from Cr at (0.000, 0.000, 0.000), Rh at (0.500, 0.500, 0.500), S at (0.000, 0.500, 0.500) and N at (0.500, 0.500, 0.000).

=====

<2>
# CrRhS2N

A relaxed CrRhS2N crystal (PBE, Alexandria via LeMat-Bulk).

It has space group P4/mmm (No. 123), with a = 4.584 Å, b = 4.584 Å, c = 3.457 Å, α = 90.00°, β = 90.00° and γ = 90.00°. Symmetry generates all atoms from Cr at (0.000, 0.000, 0.000), Rh at (0.500, 0.500, 0.500), S at (0.000, 0.500, 0.000) and N at (0.000, 0.000, 0.500).

=====

<2> takes first place; second place is 10.9 kJ/mol of atoms up.

=====

<1>
# CrRuSN2

A relaxed CrRuSN2 crystal (PBE, Alexandria via LeMat-Bulk).

It has space group P4/mmm (No. 123), with a = 3.604 Å, b = 3.604 Å, c = 4.863 Å, α = 90.00°, β = 90.00° and γ = 90.00°. Symmetry generates all atoms from Cr at (0.000, 0.000, 0.000), Ru at (0.500, 0.500, 0.500), S at (0.000, 0.000, 0.500) and N at (0.000, 0.500, 0.000).

=====

<2>
# CrRuSN2

A relaxed CrRuSN2 crystal (PBE, Alexandria via LeMat-Bulk).

It has space group P4/mmm (No. 123), with a = 3.750 Å, b = 3.750 Å, c = 5.205 Å, α = 90.00°, β = 90.00° and γ = 90.00°. Symmetry generates all atoms from Cr at (0.000, 0.000, 0.000), Ru at (0.500, 0.500, 0.500), S at (0.500, 0.500, 0.000) and N at (0.000, 0.500, 0.500).

=====

<2> takes first place; second place is 11.4 kJ/mol of atoms up.

=====

<1>
# CrRuSe2N

A relaxed CrRuSe2N crystal (PBE, Alexandria via LeMat-Bulk).

It has space group P4/mmm (No. 123), with a = 4.828 Å, b = 4.828 Å, c = 3.435 Å, α = 90.00°, β = 90.00° and γ = 90.00°. Symmetry generates all atoms from Cr at (0.000, 0.000, 0.000), Ru at (0.500, 0.500, 0.500), Se at (0.000, 0.500, 0.000) and N at (0.000, 0.000, 0.500).

=====

<2>
# CrRuSe2N

A relaxed CrRuSe2N crystal (PBE, Alexandria via LeMat-Bulk).

It has space group P4/mmm (No. 123), with a = 5.072 Å, b = 5.072 Å, c = 3.633 Å, α = 90.00°, β = 90.00° and γ = 90.00°. Symmetry generates all atoms from Cr at (0.000, 0.000, 0.000), Ru at (0.500, 0.500, 0.500), Se at (0.000, 0.500, 0.500) and N at (0.500, 0.500, 0.000).

=====

<2> takes first place; second place is 13.5 kJ/mol of atoms up.